1.
{
  "formula": "Cs4SbF",
  "functional": "PBE-GGA",
  "state": "optimized geometry",
  "final_energy_ha_per_atom": -0.096,
  "raw_formation_energy_ev_per_atom": -1.051,
  "relative_energy_ev_per_atom": 0.0302,
  "sg": "P2_1/c, No. 14",
  "lattice": [[-5.267, 5.871, -3.486], [-5.794, -6.472, -2.146], [-3.133, 0.377, 7.323]],
  "species": ["Cs", "F", "Sb", "Cs", "Cs", "Cs", "Cs", "Cs", "Sb", "F", "Cs", "Cs"],
  "fractional_positions": [[0.903, 0.635, 0.184], [0.000, 0.500, 0.500], [0.000, 0.000, 0.000], [0.276, 0.292, 0.334], [0.097, 0.365, 0.816], [0.224, 0.792, 0.666], [0.776, 0.208, 0.334], [0.403, 0.865, 0.184], [0.500, 0.500, 0.000], [0.500, 0.000, 0.500], [0.724, 0.708, 0.666], [0.597, 0.135, 0.816]]
}



2.
{
  "formula": "PrPa2Si6",
  "functional": "PBE-GGA",
  "state": "optimized geometry",
  "final_energy_ha_per_atom": -0.250,
  "raw_formation_energy_ev_per_atom": -0.533,
  "sg": "P6/mmm, No. 191",
  "lattice": [[4.001, 0.000, 0.000], [0.000, 6.126, -3.537], [0.000, 0.000, 7.074]],
  "species": ["Si", "Pa", "Si", "Si", "Si", "Si", "Pa", "Pr", "Si"],
  "fractional_positions": [[0.500, 0.000, 0.336], [0.000, 0.667, 0.333], [0.500, 0.000, 0.664], [0.500, 0.336, 0.000], [0.500, 0.664, 0.664], [0.500, 0.336, 0.336], [0.000, 0.333, 0.667], [0.000, 0.000, 0.000], [0.500, 0.664, 0.000]]
}



3.
{
  "formula": "SbSe2Br2",
  "functional": "PBE-GGA",
  "state": "optimized geometry",
  "final_energy_ha_per_atom": -0.104,
  "raw_formation_energy_ev_per_atom": 0.068,
  "relative_energy_ev_per_atom": 0.2981,
  "sg": "I4/mmm, No. 139",
  "lattice": [[-0.654, -2.554, 2.565], [-1.914, -1.968, -2.448], [8.562, -7.934, -3.079]],
  "species": ["Br", "Se", "Se", "Sb", "Br"],
  "fractional_positions": [[0.423, 0.423, 0.155], [0.250, 0.750, 0.500], [0.750, 0.250, 0.500], [0.000, 0.000, 0.000], [0.577, 0.577, 0.845]]
}